TmPaCuPd | PBE-GGA | optimized geometry

abc: 6.944 6.944 6.944
angles: 90.00 90.00 90.00
Space group F-43m (No. 216)
Inequivalent atoms, fractional coordinates:
Tm 0.000 0.000 0.000 (multiplicity 4)
Pa 0.000 0.000 0.500 (multiplicity 4)
Cu 0.250 0.250 0.750 (multiplicity 4)
Pd 0.250 0.250 0.250 (multiplicity 4)

Results
The formation energy from the elements is -0.2711 eV per atom. The calculation puts the total magnetic moment at 0.00 μB per cell. As for the crystal system: cubic.

=====

K2In5Pb3 | PBE-GGA | optimized geometry

abc: 5.240 5.240 12.523
angles: 90.00 90.00 90.00
Space group P-4m2 (No. 115)
Inequivalent atoms, fractional coordinates:
K 0.000 0.500 0.244 (multiplicity 2)
In 0.000 0.000 0.000 (multiplicity 1)
In 0.000 0.000 0.500 (multiplicity 1)
In 0.000 0.500 0.879 (multiplicity 2)
In 0.500 0.500 0.000 (multiplicity 1)
Pb 0.000 0.500 0.640 (multiplicity 2)
Pb 0.500 0.500 0.500 (multiplicity 1)

Results
The formation energy from the elements is -0.0834 eV per atom. The calculation puts the total magnetic moment at 0.00 μB per cell. As for the crystal system: tetragonal.